1.
! ScCoOs, single point on PBEsol structure, DFT SCAN; values from VASP
! DFT formation energy: 0.0273 eV per atom
! total moment: 0.0 μB per formula unit
! ΔE to the lowest computed polymorph: 179 meV per atom
&SYSTEM
  ibrav = 0, nat = 3, ntyp = 3
/
ATOMIC_SPECIES
Co 58.93 Co.upf
Os 190.23 Os.upf
Sc 44.96 Sc.upf
CELL_PARAMETERS angstrom
-0.9028 2.6385 0.8308
-3.4812 -1.6894 1.5823
3.4009 0.4091 2.3965
ATOMIC_POSITIONS crystal
Co 0.0000 0.0000 0.0000
Os 0.0000 0.3333 0.6667
Sc 0.5000 0.6667 0.3333

2.
! Sc2CoOs, single point on PBEsol structure, DFT SCAN; values from VASP
! DFT formation energy: -0.4236 eV per atom
! total moment: 0.4 μB per formula unit
! ΔE to the lowest computed polymorph: 19 meV per atom
&SYSTEM
  ibrav = 0, nat = 4, ntyp = 3
/
ATOMIC_SPECIES
Sc 44.96 Sc.upf
Os 190.23 Os.upf
Co 58.93 Co.upf
CELL_PARAMETERS angstrom
3.1333 0.0000 0.0000
0.0000 4.4326 0.0000
0.0000 0.0000 4.4326
ATOMIC_POSITIONS crystal
Sc 0.0000 0.0000 0.5000
Sc 0.0000 0.5000 0.0000
Os 0.5000 0.0000 0.0000
Co 0.5000 0.5000 0.5000

3.
! ScCo2Os, single point on PBEsol structure, DFT SCAN; values from VASP
! DFT formation energy: -0.0369 eV per atom
! total moment: 3.9 μB per formula unit
! ΔE to the lowest computed polymorph: 0 meV per atom
&SYSTEM
  ibrav = 0, nat = 4, ntyp = 3
/
ATOMIC_SPECIES
Co 58.93 Co.upf
Os 190.23 Os.upf
Sc 44.96 Sc.upf
CELL_PARAMETERS angstrom
3.0712 0.0000 0.0000
0.0000 3.0712 0.0000
0.0000 0.0000 5.7526
ATOMIC_POSITIONS crystal
Co 0.0000 0.0000 0.7827
Co 0.0000 0.0000 0.2173
Os 0.5000 0.5000 0.0000
Sc 0.5000 0.5000 0.5000

4.
! Co2OsSe, single point on PBEsol structure, DFT SCAN; values from VASP
! total moment: 1.9 μB per formula unit
! ΔE_f (raw): 479 meV/atom
&SYSTEM
  ibrav = 0, nat = 4, ntyp = 3
/
ATOMIC_SPECIES
Co 58.93 Co.upf
Os 190.23 Os.upf
Se 78.96 Se.upf
CELL_PARAMETERS angstrom
-1.0738 -1.9914 -1.4897
1.6070 0.6827 -2.0710
4.7891 -4.3016 2.2980
ATOMIC_POSITIONS crystal
Co 0.0000 0.0000 0.7529
Co 0.0000 0.0000 0.2471
Os 0.5000 0.5000 0.0000
Se 0.5000 0.5000 0.5000

5.
! Co2OsSe, single point on PBEsol structure, DFT SCAN; values from VASP
! total moment: 3.8 μB per formula unit
! ΔE_f (raw): 556 meV/atom
&SYSTEM
  ibrav = 0, nat = 4, ntyp = 3
/
ATOMIC_SPECIES
Co 58.93 Co.upf
Os 190.23 Os.upf
Se 78.96 Se.upf
CELL_PARAMETERS angstrom
2.8751 0.0000 0.0000
0.0000 4.1349 0.0000
0.0000 0.0000 4.2679
ATOMIC_POSITIONS crystal
Co 0.0000 0.0000 0.0000
Co 0.5000 0.0000 0.5000
Os 0.5000 0.5000 0.0000
Se 0.0000 0.5000 0.5000

6.
! Co2OsSe, single point on PBEsol structure, DFT SCAN; values from VASP
! total moment: 3.0 μB per formula unit
! ΔE_f (raw): 540 meV/atom
&SYSTEM
  ibrav = 0, nat = 4, ntyp = 3
/
ATOMIC_SPECIES
Co 58.93 Co.upf
Os 190.23 Os.upf
Se 78.96 Se.upf
CELL_PARAMETERS angstrom
-2.6306 0.9325 0.7071
-1.3588 -3.8241 -0.0119
2.9926 1.0782 3.8499
ATOMIC_POSITIONS crystal
Co 0.9684 0.9684 0.9368
Co 0.7550 0.2550 0.5099
Os 0.5233 0.5233 0.0466
Se 0.2534 0.7534 0.5067

7.
! Zn2CoOsSe, single point on PBEsol structure, DFT SCAN; values from VASP
! total moment: 1.8 μB per formula unit
! ΔE_f (raw): 1461 meV/atom
&SYSTEM
  ibrav = 0, nat = 5, ntyp = 4
/
ATOMIC_SPECIES
Co 58.93 Co.upf
Zn 65.41 Zn.upf
Os 190.23 Os.upf
Se 78.96 Se.upf
CELL_PARAMETERS angstrom
4.4690 0.0000 0.0000
0.0000 4.6174 0.0000
0.0000 0.0000 4.6174
ATOMIC_POSITIONS crystal
Co 0.5000 0.5000 0.5000
Zn 0.0000 0.0000 0.5000
Zn 0.0000 0.5000 0.0000
Os 0.5000 0.0000 0.0000
Se 0.0000 0.0000 0.0000

8.
! Co2SiOs, single point on PBEsol structure, DFT SCAN; values from VASP
! total moment: 2.4 μB per formula unit
! ΔE_f (raw): -39 meV/atom
&SYSTEM
  ibrav = 0, nat = 4, ntyp = 3
/
ATOMIC_SPECIES
Co 58.93 Co.upf
Os 190.23 Os.upf
Si 28.09 Si.upf
CELL_PARAMETERS angstrom
2.6308 0.0000 0.0000
0.0000 3.7552 0.0000
-1.3154 0.0000 4.6890
ATOMIC_POSITIONS crystal
Co 0.8098 0.0000 0.6197
Co 0.2016 0.5000 0.4033
Os 0.5520 0.0000 0.1040
Si 0.9406 0.5000 0.8812

9.
! Co2SiOs, single point on PBEsol structure, DFT SCAN; values from VASP
! total moment: 0.0 μB per formula unit
! ΔE_f (raw): 26 meV/atom
&SYSTEM
  ibrav = 0, nat = 4, ntyp = 3
/
ATOMIC_SPECIES
Co 58.93 Co.upf
Os 190.23 Os.upf
Si 28.09 Si.upf
CELL_PARAMETERS angstrom
3.5488 0.0000 0.0000
0.0000 3.5488 0.0000
0.0000 0.0000 3.6049
ATOMIC_POSITIONS crystal
Co 0.0000 0.5000 0.0000
Co 0.5000 0.0000 0.0000
Os 0.5000 0.5000 0.5000
Si 0.0000 0.0000 0.5000

10.
! Co2SiOs, single point on PBEsol structure, DFT SCAN; values from VASP
! total moment: 3.1 μB per formula unit
! ΔE_f (raw): 94 meV/atom
&SYSTEM
  ibrav = 0, nat = 4, ntyp = 3
/
ATOMIC_SPECIES
Co 58.93 Co.upf
Os 190.23 Os.upf
Si 28.09 Si.upf
CELL_PARAMETERS angstrom
2.6525 0.0000 0.0000
1.3262 2.2971 0.0000
1.3262 0.7657 7.7490
ATOMIC_POSITIONS crystal
Co 0.9967 0.9967 0.0100
Co 0.7466 0.7466 0.7603
Os 0.5015 0.5015 0.4954
Si 0.2552 0.2552 0.2343

11.
! Co2SiOs, single point on PBEsol structure, DFT SCAN; values from VASP
! total moment: 1.5 μB per formula unit
! ΔE_f (raw): 11 meV/atom
&SYSTEM
  ibrav = 0, nat = 4, ntyp = 3
/
ATOMIC_SPECIES
Co 58.93 Co.upf
Os 190.23 Os.upf
Si 28.09 Si.upf
CELL_PARAMETERS angstrom
2.6157 0.0000 0.0000
1.3079 2.2653 0.0000
1.3079 0.7551 7.7533
ATOMIC_POSITIONS crystal
Co 0.2559 0.2559 0.2322
Co 0.7441 0.7441 0.7678
Os 0.5000 0.5000 0.5000
Si 0.0000 0.0000 0.0000

12.
! Sr2CoOs, single point on PBEsol structure, DFT SCAN; values from VASP
! DFT formation energy: 0.5094 eV per atom
! total moment: 2.2 μB per formula unit
! ΔE to the lowest computed polymorph: 55 meV per atom
&SYSTEM
  ibrav = 0, nat = 4, ntyp = 3
/
ATOMIC_SPECIES
Co 58.93 Co.upf
Os 190.23 Os.upf
Sr 87.62 Sr.upf
CELL_PARAMETERS angstrom
3.3266 0.0000 0.0000
0.0000 3.3266 0.0000
0.0000 0.0000 8.8398
ATOMIC_POSITIONS crystal
Co 0.0000 0.0000 0.5832
Os 0.5000 0.5000 0.6659
Sr 0.0000 0.0000 0.9168
Sr 0.5000 0.5000 0.3342

13.
! Sr3CoOs, single point on PBEsol structure, DFT SCAN; values from VASP
! DFT formation energy: 1.2912 eV per atom
! total moment: 1.0 μB per formula unit
&SYSTEM
  ibrav = 0, nat = 5, ntyp = 3
/
ATOMIC_SPECIES
Sr 87.62 Sr.upf
Os 190.23 Os.upf
Co 58.93 Co.upf
CELL_PARAMETERS angstrom
-2.7741 -3.4446 -2.7511
3.6135 -3.6386 0.9121
-2.5251 -1.4228 4.3276
ATOMIC_POSITIONS crystal
Sr 0.0000 0.5000 0.0000
Sr 0.0000 0.0000 0.5000
Sr 0.5000 0.0000 0.0000
Os 0.5000 0.5000 0.5000
Co 0.0000 0.0000 0.0000

14.
! SrCo2Os, single point on PBEsol structure, DFT SCAN; values from VASP
! DFT formation energy: 0.8060 eV per atom
! total moment: 4.8 μB per formula unit
! ΔE to the lowest computed polymorph: 129 meV per atom
&SYSTEM
  ibrav = 0, nat = 4, ntyp = 3
/
ATOMIC_SPECIES
Sr 87.62 Sr.upf
Os 190.23 Os.upf
Co 58.93 Co.upf
CELL_PARAMETERS angstrom
-3.1265 2.8820 -1.3194
-4.3083 -1.0118 0.4871
-2.4637 2.1496 3.0219
ATOMIC_POSITIONS crystal
Sr 0.5000 0.5000 0.5000
Os 0.0000 0.0000 0.0000
Co 0.2500 0.2500 0.2500
Co 0.7500 0.7500 0.7500

Number 1: ρ 11.090 g/cm³. Number 2: ρ 9.146 g/cm³. Number 3: ρ 10.805 g/cm³. Number 4: ρ 12.815 g/cm³. Number 5: ρ 12.667 g/cm³. Number 6: ρ 12.703 g/cm³. Number 7: ρ 7.998 g/cm³. Number 8: ρ 12.051 g/cm³. Number 9: ρ 12.296 g/cm³. Number 10: ρ 11.823 g/cm³. Number 11: ρ 12.151 g/cm³. Number 12: ρ 7.204 g/cm³. Number 13: ρ 6.017 g/cm³. Number 14: ρ 10.530 g/cm³.